1.
The following is a PBE-GGA calculation of crystalline KLiRe at its relaxed geometry, from Alexandria via LeMat-Bulk.

Cell lengths 2.823, 2.823, 8.658 Å; angles 90.00, 90.00, 120.00 degrees
Atoms (fractional coordinates):
Li  0.333  0.667  0.380
Re  0.667  0.333  0.642
K  0.000  0.000  0.978

Values from the calculation:
- calculated density (g/cm3) = 6.45

***

2.
The following is a PBE-GGA calculation of crystalline KLi2Re at its relaxed geometry, from Alexandria via LeMat-Bulk.

Cell lengths 4.948, 4.948, 6.925 Å; angles 87.58, 87.58, 30.24 degrees
Atoms (fractional coordinates):
K  0.250  0.250  0.250
Li  0.011  0.011  0.909
Li  0.489  0.489  0.591
Re  0.750  0.750  0.750

Values from the calculation:
- calculated density (g/cm3) = 4.66

***

3.
The following is a PBE-GGA calculation of crystalline K2LiRe at its relaxed geometry, from Alexandria via LeMat-Bulk.

Cell lengths 2.873, 2.873, 12.379 Å; angles 90.00, 90.00, 105.78 degrees
Atoms (fractional coordinates):
Re  0.500  0.500  0.750
Li  0.500  0.500  0.250
K  0.000  0.000  0.976
K  0.000  0.000  0.524

Values from the calculation:
- calculated density (g/cm3) = 4.58

***

Uncorrected energy per entry: -0.31017; -0.26283; -0.22338 Ry/atom
E_form per entry: 933; 767; 1100 meV per atom